# 1
A relaxed Li2MgZr crystal, computed with PBE.

Its total magnetization is 0.00 μB per formula unit. The formation energy from the elements comes out at 0.162 eV/atom.

Unit cell a=2.836 b=4.696 c=6.241 alpha=90.00 beta=90.00 gamma=90.00
Sites, in units of the cell vectors:
Li 0.000 0.000 0.005
Li 0.500 0.500 0.252
Mg 0.000 0.000 0.497
Zr 0.500 0.500 0.746

***

# 2
A relaxed LiMg4Zr2 crystal, computed with PBE.

Its total magnetization is 0.35 μB per formula unit. The formation energy from the elements comes out at 0.242 eV/atom.

Unit cell a=4.728 b=4.651 c=7.129 alpha=109.09 beta=90.00 gamma=90.00
Site moments in Bohr magnetons follow the coordinates.
Sites, in units of the cell vectors:
Li 0.000 0.000 0.000  0.00
Mg 0.000 0.814 0.627  0.00
Mg 0.000 0.186 0.373  0.00
Mg 0.000 0.500 0.000  0.00
Mg 0.500 0.000 0.000  0.00
Zr 0.500 0.660 0.320  0.11
Zr 0.500 0.340 0.680  0.11

***

# 3
A relaxed Li2MgZr crystal, computed with PBE.

Its total magnetization is 0.00 μB per formula unit. The formation energy from the elements comes out at 0.302 eV/atom.

Unit cell a=4.835 b=4.835 c=4.835 alpha=119.71 beta=119.71 gamma=90.50
Sites, in units of the cell vectors:
Li 0.000 0.000 0.000
Li 0.250 0.750 0.500
Mg 0.500 0.500 0.000
Zr 0.750 0.250 0.500

***

# 4
A relaxed Li2MgZr crystal, computed with PBE.

Its total magnetization is 0.20 μB per formula unit. The formation energy from the elements comes out at 0.199 eV/atom.

Unit cell a=3.333 b=3.333 c=6.953 alpha=90.00 beta=90.00 gamma=90.00
Site moments in Bohr magnetons follow the coordinates.
Sites, in units of the cell vectors:
Li 0.000 0.000 0.013  0.00
Li 0.000 0.000 0.487  0.00
Mg 0.500 0.500 0.250  0.00
Zr 0.500 0.500 0.750  0.12

***

# 5
A relaxed Li2Mg2Zr crystal, computed with PBE.

Its total magnetization is 0.00 μB per formula unit. The formation energy from the elements comes out at 0.097 eV/atom. As for the polymorph energy (0 for the lowest one): 0.0 meV per atom.

Unit cell a=8.210 b=8.210 c=2.971 alpha=90.00 beta=90.00 gamma=90.00
Sites, in units of the cell vectors:
Mg 0.178 0.678 0.500
Mg 0.678 0.822 0.500
Mg 0.822 0.322 0.500
Mg 0.322 0.178 0.500
Zr 0.000 0.000 0.000
Zr 0.500 0.500 0.000
Li 0.378 0.878 0.000
Li 0.878 0.622 0.000
Li 0.622 0.122 0.000
Li 0.122 0.378 0.000

***

# 6
A relaxed Li2MgZr crystal, computed with PBE.

Its total magnetization is 0.00 μB per formula unit. The formation energy from the elements comes out at 0.159 eV/atom.

Unit cell a=2.976 b=2.976 c=9.124 alpha=90.00 beta=90.00 gamma=90.00
Sites, in units of the cell vectors:
Li 0.000 0.000 0.012
Li 0.000 0.000 0.488
Mg 0.500 0.500 0.250
Zr 0.500 0.500 0.750

***

# 7
A relaxed Li2MgZr crystal, computed with PBE.

Its total magnetization is 0.00 μB per formula unit. The formation energy from the elements comes out at 0.154 eV/atom.

Unit cell a=5.045 b=2.794 c=5.901 alpha=85.70 beta=90.00 gamma=90.00
Sites, in units of the cell vectors:
Li 0.000 0.100 0.998
Li 0.000 0.400 0.502
Mg 0.500 0.250 0.250
Zr 0.500 0.750 0.750

***

# 8
A relaxed LiMgZr crystal, computed with PBE.

Its total magnetization is 0.00 μB per formula unit. The formation energy from the elements comes out at -0.024 eV/atom. As for the polymorph energy (0 for the lowest one): 0.0 meV per atom.

Unit cell a=3.129 b=3.129 c=13.168 alpha=90.00 beta=90.00 gamma=90.00
Sites, in units of the cell vectors:
Zr 0.000 0.500 0.585
Zr 0.500 0.000 0.415
Mg 0.000 0.500 0.228
Mg 0.500 0.000 0.772
Li 0.500 0.000 0.071
Li 0.000 0.500 0.929

***

Repeat the seventh record exactly.
A relaxed Li2MgZr crystal, computed with PBE.

Its total magnetization is 0.00 μB per formula unit. The formation energy from the elements comes out at 0.154 eV/atom.

Unit cell a=5.045 b=2.794 c=5.901 alpha=85.70 beta=90.00 gamma=90.00
Sites, in units of the cell vectors:
Li 0.000 0.100 0.998
Li 0.000 0.400 0.502
Mg 0.500 0.250 0.250
Zr 0.500 0.750 0.750

***

Question: What is the formula in the sixth record?
Answer: Li2MgZr

***

Question: The highest formation energy from the elements belongs to which entry?
Answer: number 3